The following is a PBE calculation of an optimized crystal structure of Ca2CrPt, from Alexandria via LeMat-Bulk.

Output
DFT formation energy: -107 meV per atom
E_tot: -5.023 eV/atom

Cell: 7.1876 7.1876 7.1876 Å, 90.00 90.00 90.00°
Last column: nearest neighbours and their distance in Å.
Space group Fm-3m (No. 225)
Unique sites:
Ca (0.2500, 0.2500, 0.2500) x8  4 Cr 3.11, 4 Pt 3.11
Cr (0.0000, 0.0000, 0.0000) x4  8 Ca 3.11
Pt (0.0000, 0.0000, 0.5000) x4  8 Ca 3.11

---

The following is a PBE calculation of an optimized crystal structure of Ba2ZnBiO6, from Alexandria via LeMat-Bulk.

Output
E_tot: -5.449 eV/atom

Cell: 5.9144 5.9144 5.4741 Å, 90.00 90.00 120.00°
Last column: nearest neighbours and their distance in Å.
Space group P-3m1 (No. 164)
Unique sites:
Ba (0.3333, 0.6667, 0.3143) x2  9 O 2.95-2.97
Zn (0.0000, 0.0000, 0.5000) x1  6 O 2.10
Bi (0.0000, 0.0000, 0.0000) x1  6 O 2.15
O (0.1590, 0.3180, 0.7432) x6  1 Zn 2.10, 1 Bi 2.15

---

The following is a PBE calculation of an optimized crystal structure of NaGa2Ag3, from Alexandria via LeMat-Bulk.

Output
DFT formation energy: -15 meV per atom
E_tot: -2.669 eV/atom

Cell: 16.6020 4.2214 8.1199 Å, 90.00 117.37 90.00°
Last column: nearest neighbours and their distance in Å.
Space group C2/m (No. 12)
Unique sites:
Na (0.1505, 0.0000, 0.0661) x4  7 Ga 3.17-3.47, 5 Ag 3.46-3.54
Ga (0.0136, 0.5000, 0.1617) x4  1 Ga 2.45, 4 Ag 2.61-2.66
Ga (0.1988, 0.0000, 0.6928) x4  6 Ag 2.67-2.86
Ag (0.0358, 0.0000, 0.3678) x4  3 Ga 2.61-2.78, 1 Ag 2.89
Ag (0.0990, 0.5000, 0.6893) x4  3 Ga 2.65-2.68, 3 Ag 2.91-2.95
Ag (0.1809, 0.5000, 0.4404) x4  4 Ga 2.66-2.86, 3 Ag 2.91-2.93

---

The following is a PBE calculation of an optimized crystal structure of Ho3P, from Alexandria via LeMat-Bulk.

Output
DFT formation energy: -324 meV per atom
E_tot: -5.110 eV/atom

Cell: 4.3799 4.3799 10.1621 Å, 90.00 90.00 90.00°
Last column: nearest neighbours and their distance in Å.
Space group I4/mmm (No. 139)
Unique sites:
Ho (0.0000, 0.0000, 0.0000) x2  4 P 3.10, 8 Ho 3.35
Ho (0.0000, 0.5000, 0.2500) x4  8 Ho 3.10-3.35, 4 P 3.35
P (0.0000, 0.0000, 0.5000) x2  12 Ho 3.10-3.35

---

The following is a PBE calculation of an optimized crystal structure of BePt3Br, from Alexandria via LeMat-Bulk.

Output
E_tot: -4.259 eV/atom

Cell: 4.3620 4.3620 4.3620 Å, 90.00 90.00 90.00°
Last column: nearest neighbours and their distance in Å.
Space group Pm-3m (No. 221)
Unique sites:
Be (0.0000, 0.0000, 0.0000) x1  6 Pt 2.18
Pt (0.0000, 0.0000, 0.5000) x3  2 Be 2.18
Br (0.5000, 0.5000, 0.5000) x1  12 Pt 3.08

---

The following is a PBE calculation of an optimized crystal structure of CaSmZnHg, from Alexandria via LeMat-Bulk.

Output
DFT formation energy: -398 meV per atom
E_tot: -2.472 eV/atom

Cell: 3.7390 3.7390 7.4291 Å, 90.00 90.00 90.00°
Last column: nearest neighbours and their distance in Å.
Space group P4mm (No. 99)
Unique sites:
Ca (0.0000, 0.0000, 0.0000) x1  4 Zn 3.25, 4 Hg 3.29, 1 Sm 3.56
Sm (0.0000, 0.0000, 0.4790) x1  4 Zn 3.13, 4 Hg 3.26
Zn (0.5000, 0.5000, 0.2533) x1  4 Sm 3.13, 4 Ca 3.25
Hg (0.5000, 0.5000, 0.7363) x1  4 Sm 3.26, 4 Ca 3.29, 1 Zn 3.59

---

The following is a PBE calculation of an optimized crystal structure of AlGa3Ag7, from Alexandria via LeMat-Bulk.

Output
DFT formation energy: 95 meV per atom
E_tot: -2.885 eV/atom

Cell: 9.1407 9.4503 5.4320 Å, 90.00 116.60 90.00°
Last column: nearest neighbours and their distance in Å.
Space group C2/m (No. 12)
Unique sites:
Al (0.0000, 0.0000, 0.0000) x2  8 Ag 2.71-2.87
Ga (0.0000, 0.2812, 0.5000) x4  7 Ag 2.66-2.85
Ga (0.0000, 0.5000, 0.0000) x2  6 Ag 2.68-2.74
Ag (0.0000, 0.0000, 0.5000) x2  2 Ga 2.66, 2 Al 2.72, 2 Ag 2.85
Ag (0.1752, 0.2613, 0.1793) x8  3 Ga 2.68-2.85, 4 Ag 2.82-2.97, 1 Al 2.87
Ag (0.2036, 0.5000, 0.5547) x4  1 Al 2.71, 3 Ga 2.71-2.74, 5 Ag 2.82-2.97

---

The following is a PBE calculation of an optimized crystal structure of Ti2AlCdFe, from Alexandria via LeMat-Bulk.

Output
DFT formation energy: 143 meV per atom
E_tot: -5.639 eV/atom

Cell: 4.4635 4.4635 4.5888 Å, 90.00 90.00 90.00°
Last column: nearest neighbours and their distance in Å.
Space group P4/mmm (No. 123)
Unique sites:
Ti (0.0000, 0.5000, 0.0000) x2  2 Fe 2.23
Al (0.0000, 0.0000, 0.5000) x1  2 Fe 2.29
Cd (0.5000, 0.5000, 0.5000) x1  4 Al 3.16, 8 Ti 3.20
Fe (0.0000, 0.0000, 0.0000) x1  4 Ti 2.23, 2 Al 2.29